[1]
Material: MoPIr2
Method: DFT, PBE
State: optimized geometry

* raw total energy: -67.66 eV/cell
* symmetry: I4/mmm

Geometry as POSCAR:
```
MoPIr2
1.0
3.822 0.000 0.000
0.000 3.822 0.000
0.000 0.000 7.887
Mo P Ir
2 2 4
Direct
0.000 0.000 0.000
0.500 0.500 0.500
0.000 0.000 0.500
0.500 0.500 0.000
0.000 0.500 0.250
0.000 0.500 0.750
0.500 0.000 0.250
0.500 0.000 0.750
```



[2]
Material: SrMnZn2
Method: DFT, PBE
State: optimized geometry

* raw total energy: -12.53 eV/cell
* symmetry: P4mm

Geometry as POSCAR:
```
SrMnZn2
1.0
3.462 0.000 0.000
0.000 3.462 0.000
0.000 0.000 7.235
Sr Mn Zn
1 1 2
Direct
0.000 0.000 0.000
0.500 0.500 0.667
0.000 0.000 0.517
0.500 0.500 0.306
```



no.,N(E_F) (states/eV/f.u.),calculated volume (Å³/cell)
1,3.880,115.2
2,2.814,86.7